The following is a GGA-PBE calculation of TbPrCo after structural relaxation, from Alexandria via LeMat-Bulk.

Lattice parameters (Å, degrees): 4.791 4.791 4.791 60.00 60.00 60.00
Fractional positions:
Pr 0.000 0.000 0.000
Co 0.250 0.250 0.250
Tb 0.500 0.500 0.500

Summary:
Raw total energy = -16.43 eV per cell
DFT formation energy = 0.0273 eV per atom
Total moment = 0.00 μB per cell